Record 1
CaTcOs2 at its PBEsol-relaxed geometry. Source: Alexandria, functional SCAN.

Cell: 2.7929 4.6734 5.7180 Å, 114.12 104.14 90.00°
Fractional positions:
Ca (0.2513, 0.7513, 0.5026)
Tc (0.4663, 0.4663, 0.9327)
Os (0.0332, 0.0332, 0.0664)
Os (0.7492, 0.2492, 0.4983)

Computed properties:
Space group: No. 44
Calculated formation energy (eV per formula unit): 1.8

Record 2
CaTc2Os at its PBEsol-relaxed geometry. Source: Alexandria, functional SCAN.

Cell: 2.8401 4.8809 5.2157 Å, 105.90 105.80 90.00°
Fractional positions:
Ca (0.0000, 0.5000, 0.0000)
Tc (0.7806, 0.8013, 0.5613)
Tc (0.2194, 0.1987, 0.4387)
Os (0.5000, 0.0000, 0.0000)

Computed properties:
Space group: No. 12
Calculated formation energy (eV per formula unit): 1.8
Distance to the lowest polymorph of the same formula (eV per atom): 0.0290

Record 3
CaTc2Os at its PBEsol-relaxed geometry. Source: Alexandria, functional SCAN.

Cell: 2.7862 2.7862 8.4440 Å, 90.00 90.00 90.00°
Fractional positions:
Tc (0.5000, 0.5000, 0.2117)
Tc (0.0000, 0.0000, 0.9901)
Os (0.5000, 0.5000, 0.7893)
Ca (0.0000, 0.0000, 0.5088)

Computed properties:
Space group: No. 99
Calculated formation energy (eV per formula unit): 1.6
Distance to the lowest polymorph of the same formula (eV per atom): 0.0000

Summary of DFT total energy in eV/cell
-186.66; -149.90; -150.01
(order as listed above)